(1)
Material: Li2NO
Method: DFT, PBE
State: optimized geometry

Properties
relative energy among the computed polymorphs = 0.00 eV/f.u.
magnetic moment = 4.0 Bohr magnetons per cell
formation energy without anion corrections = -47 meV/atom
raw total energy = -4.32 eV/atom
volume = 8.4 A^3/atom

Structure (CIF):
```
data_Li2NO
_chemical_formula_sum 'Li8 N4 O4'
_symmetry_space_group_name_H-M 'I -4 2 d'
_symmetry_Int_Tables_number 122
_symmetry_space_group_name_Hall 'I -4 2bw'
_cell_length_a 5.666
_cell_length_b 5.666
_cell_length_c 4.208
_cell_angle_alpha 90.00
_cell_angle_beta 90.00
_cell_angle_gamma 90.00
loop_
_atom_site_label
_atom_site_type_symbol
_atom_site_fract_x
_atom_site_fract_y
_atom_site_fract_z
_atom_site_occupancy
Li1 Li 0.204 0.250 0.125 1
N1 N 0.000 0.000 0.500 1
O1 O 0.000 0.000 0.000 1
```

=====

(2)
Material: TbDy2In3
Method: DFT, PBE
State: optimized geometry

Properties
magnetic moment = 0.0 Bohr magnetons per cell
raw total energy = -4.14 eV/atom
formation energy = -45.3 kJ/mol of atoms
volume = 26.6 A^3/atom

Structure (CIF):
```
data_TbDy2In3
_chemical_formula_sum 'Tb1 Dy2 In3'
_symmetry_space_group_name_H-M 'P 4/m m m'
_symmetry_Int_Tables_number 123
_symmetry_space_group_name_Hall '-P 4 2'
_cell_length_a 3.747
_cell_length_b 3.747
_cell_length_c 11.388
_cell_angle_alpha 90.00
_cell_angle_beta 90.00
_cell_angle_gamma 90.00
loop_
_atom_site_label
_atom_site_type_symbol
_atom_site_fract_x
_atom_site_fract_y
_atom_site_fract_z
_atom_site_occupancy
Tb1 Tb 0.000 0.000 0.000 1
Dy1 Dy 0.000 0.000 0.334 1
In1 In 0.500 0.500 0.168 1
In2 In 0.500 0.500 0.500 1
```